A.
KBPd after structural relaxation, computed with PBE.

Summary:
* space-group type: F-43m, No. 216

a b c (Å): 4.4550 4.4550 4.4550
angles (deg): 60.00 60.00 60.00
Closest atoms and distances in Å follow each position.
Element x y z (fractional)
K: 0.7500 0.7500 0.7500  4 Pd 2.73
B: 0.2500 0.2500 0.2500  4 Pd 2.73
Pd: 0.0000 0.0000 0.0000  4 B 2.73, 4 K 2.73

---

B.
KBPd after structural relaxation, computed with PBE.

Summary:
* space-group type: F-43m, No. 216

a b c (Å): 4.4018 4.4018 4.4018
angles (deg): 60.00 60.00 60.00
Closest atoms and distances in Å follow each position.
Element x y z (fractional)
Pd: 0.7500 0.7500 0.7500  4 B 2.70
B: 0.0000 0.0000 0.0000  4 Pd 2.70, 4 K 2.70
K: 0.2500 0.2500 0.2500  4 B 2.70

---

C.
KBPd after structural relaxation, computed with PBE.

Summary:
* space-group type: F-43m, No. 216

a b c (Å): 4.7084 4.7084 4.7084
angles (deg): 60.00 60.00 60.00
Closest atoms and distances in Å follow each position.
Element x y z (fractional)
B: 0.2500 0.2500 0.2500  4 K 2.88
Pd: 0.7500 0.7500 0.7500  4 K 2.88
K: 0.0000 0.0000 0.0000  4 Pd 2.88, 4 B 2.88

---

Quick one: least stable of them? C

---

A.
KPrB4 after structural relaxation, computed with PBE.

Summary:
* space-group type: Immm, No. 71
* magnetization: 0.00 μB/f.u.

a b c (Å): 5.8623 5.8623 5.8623
angles (deg): 149.04 94.10 94.07
Closest atoms and distances in Å follow each position.
Element x y z (fractional)
Pr: 0.5000 0.5000 0.0000  12 B 2.93-3.14, 2 Pr 3.13
B: 0.4936 0.7560 0.7376  2 B 1.58
K: 0.0000 0.0000 0.0000  12 B 2.86-3.20, 2 K 3.13
B: 0.0184 0.7560 0.2624  2 B 1.58
B: 0.5064 0.2440 0.2624  2 B 1.58
B: 0.9816 0.2440 0.7376  2 B 1.58

---

B.
KPrB4 after structural relaxation, computed with PBE.

Summary:
* space-group type: P6/mmm, No. 191
* magnetization: 0.04 μB/f.u.

a b c (Å): 3.2122 3.2122 9.3118
angles (deg): 90.00 90.00 120.00
Closest atoms and distances in Å follow each position.
Element x y z (fractional)
Pr: 0.0000 0.0000 0.5000  12 B 2.83
B: 0.3333 0.6667 0.2699  3 B 1.85
B: 0.6667 0.3333 0.2699  3 B 1.85
B: 0.3333 0.6667 0.7301  3 B 1.85
B: 0.6667 0.3333 0.7301  3 B 1.85
K: 0.0000 0.0000 0.0000  12 B 3.12, 6 K 3.21

---

Quick one: least stable of them? B

---

A.
KB4Pt after structural relaxation, computed with PBE.

Summary:
* space-group type: Immm, No. 71
* magnetization: 0.00 μB/f.u.

a b c (Å): 5.4556 5.4556 5.4556
angles (deg): 152.11 115.87 71.33
Closest atoms and distances in Å follow each position.
Element x y z (fractional)
Pt: 0.5000 0.5000 0.0000  8 B 2.55, 2 Pt 2.63
B: 0.4174 0.7729 0.6445  3 B 1.67-1.84
K: 0.0000 0.0000 0.0000  2 K 2.63, 12 B 2.88
B: 0.8716 0.2271 0.6445  3 B 1.67-1.84
B: 0.5826 0.2271 0.3555  3 B 1.67-1.84
B: 0.1284 0.7729 0.3555  3 B 1.67-1.84

---

B.
KB4Pt after structural relaxation, computed with PBE.

Summary:
* space-group type: P6/mmm, No. 191
* magnetization: 0.01 μB/f.u.

a b c (Å): 3.1057 3.1057 8.2389
angles (deg): 90.00 90.00 120.00
Closest atoms and distances in Å follow each position.
Element x y z (fractional)
Pt: 0.0000 0.0000 0.0000  12 B 2.45
B: 0.6667 0.3333 0.7982  3 B 1.79
K: 0.0000 0.0000 0.5000  12 B 3.04, 6 K 3.11
B: 0.3333 0.6667 0.2018  3 B 1.79
B: 0.3333 0.6667 0.7982  3 B 1.79
B: 0.6667 0.3333 0.2018  3 B 1.79

---

Quick one: least stable of them? A

---

A.
KTaB after structural relaxation, computed with PBE.

Summary:
* space-group type: F-43m, No. 216
* magnetization: 0.53 μB/f.u.

a b c (Å): 4.3222 4.3222 4.3222
angles (deg): 60.00 60.00 60.00
Closest atoms and distances in Å follow each position.
Element x y z (fractional)
K: 0.2500 0.2500 0.2500  4 B 2.65
Ta: 0.7500 0.7500 0.7500  4 B 2.65
B: 0.0000 0.0000 0.0000  4 Ta 2.65, 4 K 2.65

---

B.
KTaB after structural relaxation, computed with PBE.

Summary:
* space-group type: F-43m, No. 216
* magnetization: 1.02 μB/f.u.

a b c (Å): 4.4150 4.4150 4.4150
angles (deg): 60.00 60.00 60.00
Closest atoms and distances in Å follow each position.
Element x y z (fractional)
K: 0.0000 0.0000 0.0000  4 B 2.70, 4 Ta 2.70
B: 0.7500 0.7500 0.7500  4 K 2.70
Ta: 0.2500 0.2500 0.2500  4 K 2.70

---

Quick one: least stable of them? B

---

A.
KTaB4 after structural relaxation, computed with PBE.

Summary:
* space-group type: Immm, No. 71
* magnetization: 0.00 μB/f.u.

a b c (Å): 4.9349 4.9349 4.9349
angles (deg): 143.99 109.62 81.68
Closest atoms and distances in Å follow each position.
Element x y z (fractional)
B: 0.0631 0.7361 0.3270  3 B 1.77-1.97
B: 0.9369 0.2639 0.6730  3 B 1.77-1.97
B: 0.4090 0.7361 0.6730  3 B 1.77-1.97
K: 0.5000 0.5000 0.0000  12 B 2.56-2.68
Ta: 0.0000 0.0000 0.0000  12 B 2.53-2.71
B: 0.5910 0.2639 0.3270  3 B 1.77-1.97

---

B.
KTaB4 after structural relaxation, computed with PBE.

Summary:
* space-group type: P6/mmm, No. 191
* magnetization: 0.00 μB/f.u.

a b c (Å): 3.0750 3.0750 8.3486
angles (deg): 90.00 90.00 120.00
Closest atoms and distances in Å follow each position.
Element x y z (fractional)
B: 0.6667 0.3333 0.3015  3 B 1.78
Ta: 0.0000 0.0000 0.5000  12 B 2.43
B: 0.6667 0.3333 0.6985  3 B 1.78
B: 0.3333 0.6667 0.6985  3 B 1.78
B: 0.3333 0.6667 0.3015  3 B 1.78
K: 0.0000 0.0000 0.0000  6 K 3.07, 12 B 3.08

---

Quick one: least stable of them? A

---

A.
KTbB4 after structural relaxation, computed with PBE.

Summary:
* space-group type: P6/mmm, No. 191
* magnetization: 0.04 μB/f.u.

a b c (Å): 3.2206 3.2206 8.8533
angles (deg): 90.00 90.00 120.00
Closest atoms and distances in Å follow each position.
Element x y z (fractional)
B: 0.3333 0.6667 0.7176  3 B 1.86
K: 0.0000 0.0000 0.0000  12 B 3.12, 6 K 3.22
B: 0.6667 0.3333 0.2824  3 B 1.86
B: 0.6667 0.3333 0.7176  3 B 1.86
Tb: 0.0000 0.0000 0.5000  12 B 2.68
B: 0.3333 0.6667 0.2824  3 B 1.86

---

B.
KTbB4 after structural relaxation, computed with PBE.

Summary:
* space-group type: Immm, No. 71
* magnetization: 0.00 μB/f.u.

a b c (Å): 5.6683 5.6683 5.6683
angles (deg): 148.15 94.91 93.73
Closest atoms and distances in Å follow each position.
Element x y z (fractional)
K: 0.5000 0.5000 0.0000  12 B 2.77-3.10
B: 0.0082 0.7425 0.2657  2 B 1.58
B: 0.4767 0.7425 0.7343  2 B 1.58
B: 0.9918 0.2575 0.7343  2 B 1.58
B: 0.5233 0.2575 0.2657  2 B 1.58
Tb: 0.0000 0.0000 0.0000  12 B 2.85-3.03, 2 Tb 3.11

---

Quick one: least stable of them? B